HfOs2N: optimized geometry, PBE-GGA.

```
data_HfOs2N
_chemical_formula_sum 'Hf4 Os8 N4'
_cell_length_a 6.720
_cell_length_b 6.720
_cell_length_c 5.118
_cell_angle_alpha 90.00
_cell_angle_beta 90.00
_cell_angle_gamma 90.00
_symmetry_space_group_name_H-M 'I -4 2 d'
_symmetry_Int_Tables_number 122
_symmetry_space_group_name_Hall 'I -4 2bw'
loop_
_atom_site_label
_atom_site_fract_x
_atom_site_fract_y
_atom_site_fract_z
_atom_site_occupancy
Hf1 0.000 0.000 0.000 1
Os1 0.132 0.750 0.625 1
N1 0.000 0.000 0.500 1
```

Calculated values
- formation energy from raw total energies (eV/atom) = 0.081
- final energy (eV/atom) = -10.10
- DOS at the Fermi energy (states/eV/f.u.) = 2.4
- calculated volume (A^3/atom) = 14.44